# 1
Density functional theory data (PBE) for an optimized crystal structure of LaEr2Al9.

## Properties
DOS at the Fermi energy = 4.9 states/eV/f.u.
ΔE_f = -0.402 eV per atom
Space-group type = R-3m, No. 166

a b c (Å): 5.6058 5.6058 9.3537
angles (deg): 72.56 72.56 60.00
Closest atoms and distances in Å follow each position.
Element x y z (fractional)
Al: 0.0769 0.5881 0.7470  7 Al 2.72-2.87
Al: 0.6644 0.6644 0.0069  6 Al 2.72-2.78
La: 0.0000 0.0000 0.0000  18 Al 3.24-3.58
Al: 0.5881 0.5881 0.7470  7 Al 2.72-2.87
Er: 0.8584 0.8584 0.4249  12 Al 3.18-3.30, 3 Er 3.49
Al: 0.5881 0.0769 0.7470  7 Al 2.72-2.87
Al: 0.4119 0.9231 0.2530  7 Al 2.72-2.87
Er: 0.1416 0.1416 0.5751  12 Al 3.18-3.30, 3 Er 3.49
Al: 0.9231 0.4119 0.2530  7 Al 2.72-2.87
Al: 0.5000 0.5000 0.5000  6 Al 2.73
Al: 0.3356 0.3356 0.9931  6 Al 2.72-2.78
Al: 0.4119 0.4119 0.2530  7 Al 2.72-2.87

# 2
Density functional theory data (PBE) for an optimized crystal structure of Ba4LaRu.

## Properties
DOS at the Fermi energy = 11.9 states/eV/f.u.
ΔE_f = 1.042 eV per atom
Space-group type = F-43m, No. 216

a b c (Å): 7.1167 7.1167 7.1167
angles (deg): 60.00 60.00 60.00
Closest atoms and distances in Å follow each position.
Element x y z (fractional)
Ba: 0.8789 0.3737 0.3737  6 Ba 3.52-3.60
Ru: 0.0000 0.0000 0.0000  12 Ba 4.17, 4 La 4.36
La: 0.7500 0.7500 0.7500  12 Ba 4.18, 4 Ru 4.36
Ba: 0.3737 0.8789 0.3737  6 Ba 3.52-3.60
Ba: 0.3737 0.3737 0.8789  6 Ba 3.52-3.60
Ba: 0.3737 0.3737 0.3737  6 Ba 3.52-3.60

# 3
Density functional theory data (PBE) for an optimized crystal structure of Tl2CoW.

## Properties
DOS at the Fermi energy = 5.7 states/eV/f.u.
ΔE_f = 1.271 eV per atom
Distance to the lowest polymorph of the same formula = 0.748 eV/atom
Space-group type = F-43m, No. 216

a b c (Å): 4.7433 4.7433 4.7433
angles (deg): 60.00 60.00 60.00
Closest atoms and distances in Å follow each position.
Element x y z (fractional)
W: 0.7500 0.7500 0.7500  4 Co 2.90, 4 Tl 2.90
Tl: 0.0000 0.0000 0.0000  4 W 2.90, 4 Tl 2.90
Co: 0.5000 0.5000 0.5000  4 Tl 2.90, 4 W 2.90
Tl: 0.2500 0.2500 0.2500  4 Tl 2.90, 4 Co 2.90

# 4
Density functional theory data (PBE) for an optimized crystal structure of RbLiCuCl4.

## Properties
DOS at the Fermi energy = 5.0 states/eV/f.u.
Space-group type = P2_1/m, No. 11
Formation energy (no corrections) = -1.250 eV/atom

a b c (Å): 6.2123 7.3495 8.9189
angles (deg): 90.00 105.22 90.00
Closest atoms and distances in Å follow each position.
Element x y z (fractional)
Li: 0.3233 0.2500 0.6780  4 Cl 2.36-2.41
Cu: 0.8223 0.2500 0.6760  4 Cl 2.22-2.41
Cl: 0.5146 0.2500 0.4813  1 Cu 2.22, 1 Li 2.36
Cl: 0.3470 0.7500 0.1103  1 Li 2.39, 1 Cu 2.41
Cl: 0.9266 0.5230 0.2695  1 Cu 2.25, 1 Li 2.41
Cl: 0.0734 0.4770 0.7305  1 Cu 2.25, 1 Li 2.41
Rb: 0.2497 0.2500 0.0975  9 Cl 3.39-3.72
Cl: 0.6530 0.2500 0.8897  1 Li 2.39, 1 Cu 2.41
Cu: 0.1777 0.7500 0.3240  4 Cl 2.22-2.41
Li: 0.6767 0.7500 0.3220  4 Cl 2.36-2.41
Rb: 0.7503 0.7500 0.9025  9 Cl 3.39-3.72
Cl: 0.9266 0.9770 0.2695  1 Cu 2.25, 1 Li 2.41
Cl: 0.0734 0.0230 0.7305  1 Cu 2.25, 1 Li 2.41
Cl: 0.4854 0.7500 0.5187  1 Cu 2.22, 1 Li 2.36

| no. | uncorrected energy (Ha/atom) | spin magnetization (μB/f.u.) |
| --- | --- | --- |
| 1 | -0.1609 | 0.0 |
| 2 | -0.0958 | 0.8 |
| 3 | -0.1811 | 1.3 |
| 4 | -0.1213 | 1.0 |